DFT (GGA-PBE) results for a relaxed K2HgRuO4 crystal.

Cell: 7.490 7.490 7.014 Å, 90.00 90.00 90.00°
Space group I-4 (No. 82)
Symmetry-distinct sites (fractional):
K (0.000, 0.000, 0.000)
K (0.000, 0.500, 0.250)
Hg (0.000, 0.500, 0.750)
Ru (0.000, 0.000, 0.500)
O (0.092, 0.168, 0.345)

E_form (uncorrected) = -1070 meV/atom
DFT total energy = -80.34 eV per cell

DFT (GGA-PBE) results for a relaxed P2OsRu crystal.

Cell: 3.637 4.430 4.235 Å, 90.00 114.57 90.00°
Space group Pm (No. 6)
Symmetry-distinct sites (fractional):
P (0.000, 0.000, 0.000)
P (0.203, 0.500, 0.388)
Os (0.323, 0.000, 0.635)
Ru (0.881, 0.500, 0.754)

DFT total energy = -32.71 eV per cell
Energy of formation = -1.39 eV per formula unit
Polymorph energy (0 for the lowest one) = 0 meV per atom
DOS(E_F) = 1.454 states/eV/cell

- Number 1 is which compound?
  K2HgRuO4

- Which value of DFT total energy does entry 1 give?
  -80.34 eV per cell

- The lowest DFT total energy belongs to which entry?
  K2HgRuO4

- Number 1 is which compound?
  K2HgRuO4